A relaxed PuMoO4 crystal. Source: Alexandria, functional GGA+U.

The space group is Pnc2 (No. 30) and the conventional cell measures 5.472, 4.957 and 5.992 Å, with angles of 90.00, 90.00 and 90.00 degrees. The asymmetric unit holds Pu at (0.000, 0.000, 0.000), Mo at (0.500, 0.000, 0.696), O at (0.176, 0.221, 0.730) and O at (0.334, 0.735, 0.458).

The uncorrected energy comes out at -9.225 eV per atom. As for the crystal system: orthorhombic. For the magnetization, the calculation gives 6.0 μB/f.u.